Sm3Er6Mg: optimized geometry, PBE.

Lattice parameters (Å, degrees): 8.976 8.794 8.794 116.09 90.00 90.00
Sites, in units of the cell vectors:
Sm  0.436  0.969  0.677
Sm  0.936  0.677  0.969
Sm  0.421  0.536  0.464
Sm  0.921  0.464  0.536
Sm  0.936  0.031  0.323
Sm  0.436  0.323  0.031
Er  0.100  0.850  0.715
Er  0.600  0.715  0.850
Er  0.269  0.524  0.829
Er  0.769  0.829  0.524
Er  0.286  0.936  0.064
Er  0.655  0.294  0.706
Er  0.155  0.706  0.294
Er  0.786  0.064  0.936
Er  0.269  0.171  0.476
Er  0.769  0.476  0.171
Er  0.100  0.285  0.150
Er  0.600  0.150  0.285
Mg  0.014  0.235  0.765
Mg  0.514  0.765  0.235

Crystal system: orthorhombic
Density of states at the Fermi level in states/eV/f.u.: 11.90
ρ in g cm⁻³: 7.88
Electronic total energy in eV/cell: -83.7

=====

SmErMg14: optimized geometry, PBE.

Lattice parameters (Å, degrees): 6.929 6.929 8.012 90.00 90.00 90.03
Sites, in units of the cell vectors:
Sm  0.875  0.875  0.500
Er  0.375  0.375  0.500
Mg  0.875  0.875  0.000
Mg  0.375  0.375  0.000
Mg  0.875  0.375  0.500
Mg  0.875  0.375  0.000
Mg  0.375  0.875  0.500
Mg  0.375  0.875  0.000
Mg  0.623  0.127  0.238
Mg  0.623  0.127  0.762
Mg  0.127  0.623  0.238
Mg  0.127  0.623  0.762
Mg  0.623  0.623  0.238
Mg  0.623  0.623  0.762
Mg  0.127  0.127  0.238
Mg  0.127  0.127  0.762

Crystal system: tetragonal
Density of states at the Fermi level in states/eV/f.u.: 6.50
ρ in g cm⁻³: 2.84
Electronic total energy in eV/cell: -32.1

=====

Sm2ErMg3: optimized geometry, PBE.

Lattice parameters (Å, degrees): 3.813 3.813 11.489 90.00 90.00 90.00
Sites, in units of the cell vectors:
Sm  0.500  0.500  0.830
Sm  0.500  0.500  0.170
Er  0.500  0.500  0.500
Mg  0.000  0.000  0.000
Mg  0.000  0.000  0.660
Mg  0.000  0.000  0.340

Crystal system: tetragonal
Density of states at the Fermi level in states/eV/f.u.: 7.57
ρ in g cm⁻³: 5.38
Electronic total energy in eV/cell: -19.3

=====

Sm3Er2Mg: optimized geometry, PBE.

Lattice parameters (Å, degrees): 3.600 3.600 14.358 90.00 90.00 90.00
Sites, in units of the cell vectors:
Sm  0.000  0.000  0.000
Sm  0.000  0.000  0.654
Sm  0.000  0.000  0.346
Er  0.500  0.500  0.826
Er  0.500  0.500  0.174
Mg  0.500  0.500  0.500

Energy above the most stable polymorph in this dataset in eV/atom: 0.0000
Crystal system: tetragonal
Density of states at the Fermi level in states/eV/f.u.: 7.62
ρ in g cm⁻³: 7.23

=====

SmEr3Mg12: optimized geometry, PBE.

Lattice parameters (Å, degrees): 4.624 4.624 18.971 90.00 90.00 90.00
Sites, in units of the cell vectors:
Sm  0.000  0.000  0.000
Er  0.000  0.000  0.252
Er  0.000  0.000  0.500
Er  0.000  0.000  0.748
Mg  0.500  0.500  0.000
Mg  0.500  0.500  0.252
Mg  0.500  0.500  0.500
Mg  0.500  0.500  0.748
Mg  0.500  0.000  0.127
Mg  0.500  0.000  0.376
Mg  0.500  0.000  0.624
Mg  0.500  0.000  0.873
Mg  0.000  0.500  0.127
Mg  0.000  0.500  0.376
Mg  0.000  0.500  0.624
Mg  0.000  0.500  0.873

Crystal system: tetragonal
Density of states at the Fermi level in states/eV/f.u.: 13.04
ρ in g cm⁻³: 3.86
Electronic total energy in eV/cell: -38.4

=====

SmErMg: optimized geometry, PBE.

Lattice parameters (Å, degrees): 3.401 5.455 5.455 120.00 90.00 90.00
Sites, in units of the cell vectors:
Mg  0.320  0.333  0.667
Sm  0.625  0.667  0.333
Er  0.056  0.000  0.000

Energy above the most stable polymorph in this dataset in eV/atom: 0.1079
Crystal system: trigonal
Density of states at the Fermi level in states/eV/f.u.: 3.83
ρ in g cm⁻³: 6.48

=====

Sm3Er8Mg: optimized geometry, PBE.

Lattice parameters (Å, degrees): 8.260 8.260 8.260 95.06 117.12 117.12
Sites, in units of the cell vectors:
Sm  0.500  0.750  0.250
Sm  0.500  0.250  0.750
Sm  0.000  0.500  0.500
Er  0.486  0.239  0.239
Er  0.514  0.753  0.753
Er  0.000  0.761  0.247
Er  0.000  0.247  0.761
Er  0.253  0.374  0.374
Er  0.747  0.121  0.121
Er  0.000  0.626  0.879
Er  0.000  0.879  0.626
Mg  0.000  0.000  0.000

Crystal system: tetragonal
Density of states at the Fermi level in states/eV/f.u.: 18.37
ρ in g cm⁻³: 7.27
Electronic total energy in eV/cell: -44.9

=====

SmEr2Mg: optimized geometry, PBE.

Lattice parameters (Å, degrees): 3.501 3.501 11.501 81.16 81.16 59.87
Sites, in units of the cell vectors:
Sm  0.667  0.667  0.999
Er  0.086  0.086  0.744
Er  0.248  0.248  0.256
Mg  0.499  0.499  0.500

Energy above the most stable polymorph in this dataset in eV/atom: 0.0773
Crystal system: monoclinic
Density of states at the Fermi level in states/eV/f.u.: 6.23
ρ in g cm⁻³: 7.05

=====

SmErMg2: optimized geometry, PBE.

Lattice parameters (Å, degrees): 3.836 5.358 5.358 90.00 90.00 90.00
Sites, in units of the cell vectors:
Mg  0.000  0.000  0.500
Mg  0.000  0.500  0.000
Sm  0.500  0.500  0.500
Er  0.500  0.000  0.000

Energy above the most stable polymorph in this dataset in eV/atom: 0.0056
Crystal system: tetragonal
Density of states at the Fermi level in states/eV/f.u.: 4.42
ρ in g cm⁻³: 5.52

=====

SmErMg: optimized geometry, PBE.

Lattice parameters (Å, degrees): 5.427 3.439 10.074 70.09 90.01 90.01
Sites, in units of the cell vectors:
Sm  0.977  0.064  0.745
Sm  0.477  0.221  0.584
Er  0.477  0.382  0.925
Er  0.977  0.902  0.403
Mg  0.477  0.563  0.244
Mg  0.978  0.721  0.084

Energy above the most stable polymorph in this dataset in eV/atom: 0.0898
Crystal system: monoclinic
Density of states at the Fermi level in states/eV/f.u.: 3.92
ρ in g cm⁻³: 6.42

=====

Sm2Er6Mg: optimized geometry, PBE.

Lattice parameters (Å, degrees): 5.000 10.481 10.481 90.00 90.00 90.00
Sites, in units of the cell vectors:
Sm  0.000  0.335  0.835
Sm  0.500  0.835  0.665
Sm  0.500  0.165  0.335
Sm  0.000  0.665  0.165
Er  0.000  0.999  0.166
Er  0.000  0.666  0.499
Er  0.000  0.668  0.832
Er  0.500  0.168  0.668
Er  0.500  0.166  0.001
Er  0.500  0.499  0.334
Er  0.000  0.001  0.834
Er  0.000  0.334  0.501
Er  0.000  0.332  0.168
Er  0.500  0.832  0.332
Er  0.500  0.834  0.999
Er  0.500  0.501  0.666
Mg  0.500  0.500  0.000
Mg  0.000  0.000  0.500

Energy above the most stable polymorph in this dataset in eV/atom: 0.0000
Crystal system: tetragonal
Density of states at the Fermi level in states/eV/f.u.: 12.75
ρ in g cm⁻³: 8.03

=====

Sm2ErMg4: optimized geometry, PBE.

Lattice parameters (Å, degrees): 5.414 5.414 8.206 109.26 109.26 90.00
Sites, in units of the cell vectors:
Sm  0.748  0.748  0.496
Sm  0.252  0.252  0.504
Er  0.000  0.000  0.000
Mg  0.386  0.886  0.772
Mg  0.886  0.386  0.772
Mg  0.614  0.114  0.228
Mg  0.114  0.614  0.228

Energy above the most stable polymorph in this dataset in eV/atom: 0.0000
Crystal system: tetragonal
Density of states at the Fermi level in states/eV/f.u.: 6.15
ρ in g cm⁻³: 4.41

=====

SmEr2Mg: optimized geometry, PBE.

Lattice parameters (Å, degrees): 3.591 3.591 9.172 90.00 90.00 90.00
Sites, in units of the cell vectors:
Mg  0.500  0.500  0.000
Sm  0.500  0.500  0.500
Er  0.000  0.000  0.769
Er  0.000  0.000  0.231

Energy above the most stable polymorph in this dataset in eV/atom: 0.0032
Crystal system: tetragonal
Density of states at the Fermi level in states/eV/f.u.: 4.58
ρ in g cm⁻³: 7.15

=====

Sm2Er9Mg: optimized geometry, PBE.

Lattice parameters (Å, degrees): 4.958 4.958 14.913 90.00 90.00 90.00
Sites, in units of the cell vectors:
Sm  0.000  0.000  0.332
Sm  0.000  0.000  0.668
Er  0.500  0.500  0.000
Er  0.500  0.500  0.328
Er  0.500  0.500  0.672
Er  0.500  0.000  0.163
Er  0.500  0.000  0.500
Er  0.500  0.000  0.837
Er  0.000  0.500  0.163
Er  0.000  0.500  0.500
Er  0.000  0.500  0.837
Mg  0.000  0.000  0.000

Crystal system: tetragonal
Density of states at the Fermi level in states/eV/f.u.: 15.71
ρ in g cm⁻³: 8.29
Electronic total energy in eV/cell: -51.8

=====

Sm2ErMg9: optimized geometry, PBE.

Lattice parameters (Å, degrees): 6.057 6.057 10.360 73.00 73.00 60.00
Sites, in units of the cell vectors:
Sm  0.858  0.858  0.425
Sm  0.142  0.142  0.575
Er  0.000  0.000  0.000
Mg  0.666  0.666  0.002
Mg  0.334  0.334  0.998
Mg  0.500  0.500  0.500
Mg  0.415  0.415  0.250
Mg  0.921  0.415  0.250
Mg  0.415  0.921  0.250
Mg  0.585  0.585  0.750
Mg  0.585  0.079  0.750
Mg  0.079  0.585  0.750

Crystal system: trigonal
Density of states at the Fermi level in states/eV/f.u.: 11.67
ρ in g cm⁻³: 3.68
Electronic total energy in eV/cell: -28.7

=====

Sm4Er2Mg: optimized geometry, PBE.

Lattice parameters (Å, degrees): 3.646 5.924 11.524 110.98 90.00 90.00
Sites, in units of the cell vectors:
Sm  0.500  0.185  0.251
Sm  0.500  0.815  0.749
Sm  0.000  0.343  0.795
Sm  0.000  0.657  0.205
Er  0.000  0.500  0.500
Er  0.500  0.000  0.500
Mg  0.000  0.000  0.000

Energy above the most stable polymorph in this dataset in eV/atom: 0.0408
Crystal system: monoclinic
Density of states at the Fermi level in states/eV/f.u.: 7.20
ρ in g cm⁻³: 6.86

=====

Sm2Er3Mg2: optimized geometry, PBE.

Lattice parameters (Å, degrees): 3.509 3.481 17.154 90.00 95.87 90.00
Sites, in units of the cell vectors:
Sm  0.295  0.500  0.591
Sm  0.705  0.500  0.409
Er  0.428  0.500  0.857
Er  0.572  0.500  0.143
Er  0.000  0.000  0.000
Mg  0.137  0.000  0.274
Mg  0.863  0.000  0.726

Crystal system: orthorhombic
Density of states at the Fermi level in states/eV/f.u.: 8.93
ρ in g cm⁻³: 6.78
Electronic total energy in eV/cell: -26.0

=====

Sm12Er7Mg: optimized geometry, PBE.

Lattice parameters (Å, degrees): 9.920 9.920 9.920 109.47 109.47 109.47
Sites, in units of the cell vectors:
Sm  0.506  0.753  0.752
Sm  0.001  0.753  0.248
Sm  0.494  0.247  0.248
Sm  0.999  0.247  0.752
Sm  0.752  0.999  0.247
Sm  0.752  0.506  0.753
Sm  0.248  0.001  0.753
Sm  0.248  0.494  0.247
Sm  0.753  0.752  0.506
Sm  0.247  0.248  0.494
Sm  0.753  0.248  0.001
Sm  0.247  0.752  0.999
Er  0.500  0.500  0.000
Er  0.000  0.500  0.500
Er  0.500  0.000  0.500
Er  0.500  0.500  0.500
Er  0.000  0.000  0.500
Er  0.500  0.000  0.000
Er  0.000  0.500  0.000
Mg  0.000  0.000  0.000

Energy above the most stable polymorph in this dataset in eV/atom: 0.5515
Crystal system: cubic
Density of states at the Fermi level in states/eV/f.u.: 26.19
ρ in g cm⁻³: 6.63

=====

Sm3Er3Mg: optimized geometry, PBE.

Lattice parameters (Å, degrees): 5.604 9.483 9.483 120.01 90.00 90.00
Sites, in units of the cell vectors:
Sm  0.250  0.527  0.629
Sm  0.250  0.102  0.473
Sm  0.250  0.371  0.898
Sm  0.750  0.473  0.371
Sm  0.750  0.898  0.527
Sm  0.750  0.629  0.102
Er  0.750  0.764  0.818
Er  0.750  0.053  0.236
Er  0.750  0.182  0.947
Er  0.250  0.236  0.182
Er  0.250  0.947  0.764
Er  0.250  0.818  0.053
Mg  0.750  0.333  0.667
Mg  0.250  0.667  0.333

Energy above the most stable polymorph in this dataset in eV/atom: 0.0000
Crystal system: hexagonal
Density of states at the Fermi level in states/eV/f.u.: 11.35
ρ in g cm⁻³: 7.44

=====

SmEr2Mg: optimized geometry, PBE.

Lattice parameters (Å, degrees): 5.497 5.497 5.497 60.00 60.00 60.00
Sites, in units of the cell vectors:
Mg  0.500  0.500  0.500
Sm  0.000  0.000  0.000
Er  0.250  0.250  0.250
Er  0.750  0.750  0.750

Energy above the most stable polymorph in this dataset in eV/atom: 0.1173
Crystal system: cubic
Density of states at the Fermi level in states/eV/f.u.: 5.59
ρ in g cm⁻³: 7.20

=====

Sm3Er2Mg: optimized geometry, PBE.

Lattice parameters (Å, degrees): 7.025 6.247 9.445 101.68 111.83 90.00
Sites, in units of the cell vectors:
Sm  0.874  0.250  0.000
Sm  0.126  0.750  0.000
Sm  0.044  0.030  0.338
Sm  0.705  0.470  0.662
Sm  0.295  0.530  0.338
Sm  0.956  0.970  0.662
Er  0.788  0.537  0.329
Er  0.541  0.037  0.329
Er  0.459  0.963  0.671
Er  0.212  0.463  0.671
Mg  0.624  0.750  0.000
Mg  0.376  0.250  0.000

Energy above the most stable polymorph in this dataset in eV/atom: 0.0372
Crystal system: monoclinic
Density of states at the Fermi level in states/eV/f.u.: 8.17
ρ in g cm⁻³: 7.16

=====

Sm12Er6Mg: optimized geometry, PBE.

Lattice parameters (Å, degrees): 8.663 8.663 8.663 97.35 97.35 97.35
Sites, in units of the cell vectors:
Sm  0.582  0.169  0.582
Sm  0.169  0.582  0.582
Sm  0.582  0.582  0.169
Sm  0.418  0.831  0.418
Sm  0.831  0.418  0.418
Sm  0.418  0.418  0.831
Sm  0.261  0.000  0.739
Sm  0.261  0.739  0.000
Sm  0.000  0.261  0.739
Sm  0.739  0.000  0.261
Sm  0.739  0.261  0.000
Sm  0.000  0.739  0.261
Er  0.136  0.137  0.407
Er  0.863  0.593  0.864
Er  0.593  0.864  0.863
Er  0.864  0.863  0.593
Er  0.137  0.407  0.136
Er  0.407  0.136  0.137
Mg  0.000  0.000  0.000

Energy above the most stable polymorph in this dataset in eV/atom: 0.0078
Crystal system: trigonal
Density of states at the Fermi level in states/eV/f.u.: 26.53
ρ in g cm⁻³: 7.44